Entry 1:
Density functional theory data (PBE-GGA) for a relaxed In3SiOs crystal.

Geometry as CIF:
```
data_In3SiOs
_chemical_formula_sum 'In3 Si1 Os1'
_cell_length_a 5.065
_cell_length_b 5.065
_cell_length_c 5.065
_cell_angle_alpha 90.00
_cell_angle_beta 90.00
_cell_angle_gamma 90.00
_space_group_name_H-M_alt 'P m -3 m'
_space_group_IT_number 221
_space_group_name_Hall '-P 4 2 3'
loop_
_atom_site_label
_atom_site_type_symbol
_atom_site_fract_x
_atom_site_fract_y
_atom_site_fract_z
In1 In 0.000 0.000 0.500
Si1 Si 0.000 0.000 0.000
Os1 Os 0.500 0.500 0.500
```

Calculated values
* energy above the most stable polymorph in this dataset: 638 meV/atom
* uncorrected formation energy: 6.88 eV per formula unit

Entry 2:
Density functional theory data (PBE-GGA) for a relaxed ErP2Ru4 crystal.

Geometry as CIF:
```
data_ErP2Ru4
_chemical_formula_sum 'Er2 P4 Ru8'
_cell_length_a 7.469
_cell_length_b 7.469
_cell_length_c 3.778
_cell_angle_alpha 90.00
_cell_angle_beta 90.00
_cell_angle_gamma 90.00
_space_group_name_H-M_alt 'P 42/m n m'
_space_group_IT_number 136
_space_group_name_Hall '-P 4n 2n'
loop_
_atom_site_label
_atom_site_type_symbol
_atom_site_fract_x
_atom_site_fract_y
_atom_site_fract_z
Er1 Er 0.000 0.000 0.000
P1 P 0.226 0.226 0.500
Ru1 Ru 0.073 0.666 0.500
```

Calculated values
* energy of formation: -4.9 eV/f.u.

Entry 3:
Density functional theory data (PBE-GGA) for a relaxed Ta2VB2Ru5 crystal.

Geometry as CIF:
```
data_Ta2VB2Ru5
_chemical_formula_sum 'Ta4 V2 B4 Ru10'
_cell_length_a 9.331
_cell_length_b 9.331
_cell_length_c 2.979
_cell_angle_alpha 90.00
_cell_angle_beta 90.00
_cell_angle_gamma 90.00
_space_group_name_H-M_alt 'P 4/m b m'
_space_group_IT_number 127
_space_group_name_Hall '-P 4 2ab'
loop_
_atom_site_label
_atom_site_type_symbol
_atom_site_fract_x
_atom_site_fract_y
_atom_site_fract_z
Ta1 Ta 0.177 0.323 0.000
V1 V 0.000 0.000 0.000
B1 B 0.124 0.624 0.000
Ru1 Ru 0.000 0.500 0.500
Ru2 Ru 0.070 0.786 0.500
```

Calculated values
* energy of formation: -5.2 eV/f.u.

Entry 4:
Density functional theory data (PBE-GGA) for a relaxed Na2CrNiGe crystal.

Geometry as CIF:
```
data_Na2CrNiGe
_chemical_formula_sum 'Na2 Cr1 Ni1 Ge1'
_cell_length_a 5.383
_cell_length_b 5.383
_cell_length_c 4.377
_cell_angle_alpha 90.00
_cell_angle_beta 90.00
_cell_angle_gamma 90.00
_space_group_name_H-M_alt 'P 4/m m m'
_space_group_IT_number 123
_space_group_name_Hall '-P 4 2'
loop_
_atom_site_label
_atom_site_type_symbol
_atom_site_fract_x
_atom_site_fract_y
_atom_site_fract_z
Na1 Na 0.000 0.500 0.000
Cr1 Cr 0.000 0.000 0.000
Ni1 Ni 0.000 0.000 0.500
Ge1 Ge 0.500 0.500 0.500
```

Calculated values
* energy of formation: 5.4 eV/f.u.